Entry 1:
DFT (GGA-PBE) results for a geometry-optimized LiAlW2 structure.

Values from the calculation:
DOS at the Fermi energy ... 0.683 states/eV/atom
Electronic total energy ... -7.61 eV/atom
DFT formation energy ... 0.280 eV/atom

Cell and atoms, written as CIF:
```
data_LiAlW2
_chemical_formula_sum 'Li2 Al2 W4'
_space_group_name_H-M_alt 'C m m m'
_space_group_IT_number 65
_space_group_name_Hall '-C 2 2'
_cell_length_a 3.360
_cell_length_b 4.141
_cell_length_c 8.966
_cell_angle_alpha 90.00
_cell_angle_beta 90.00
_cell_angle_gamma 90.00
loop_
_atom_site_label
_atom_site_fract_x
_atom_site_fract_y
_atom_site_fract_z
Li1 0.000 0.000 0.000
Al1 0.000 0.000 0.500
W1 0.000 0.500 0.262
```

Entry 2:
DFT (GGA-PBE) results for a geometry-optimized LiAlW2 structure.

Values from the calculation:
DOS at the Fermi energy ... 0.418 states/eV/atom
Electronic total energy ... -7.68 eV/atom
DFT formation energy ... 0.213 eV/atom

Cell and atoms, written as CIF:
```
data_LiAlW2
_chemical_formula_sum 'Li2 Al2 W4'
_space_group_name_H-M_alt 'I m m 2'
_space_group_IT_number 44
_cell_length_a 3.592
_cell_length_b 4.333
_cell_length_c 7.616
_cell_angle_alpha 90.00
_cell_angle_beta 90.00
_cell_angle_gamma 90.00
loop_
_space_group_symop_operation_xyz
'x,y,z'
'-x,-y,z'
'-x,y,z'
'x,-y,z'
'x+1/2,y+1/2,z+1/2'
'-x+1/2,-y+1/2,z+1/2'
'-x+1/2,y+1/2,z+1/2'
'x+1/2,-y+1/2,z+1/2'
loop_
_atom_site_label
_atom_site_fract_x
_atom_site_fract_y
_atom_site_fract_z
Li1 0.000 0.000 0.000
Al1 0.000 0.500 0.278
W1 0.000 0.000 0.511
W2 0.000 0.500 0.753
```

Entry 3:
DFT (GGA-PBE) results for a geometry-optimized LiAlW2 structure.

Values from the calculation:
DOS at the Fermi energy ... 0.436 states/eV/atom
Electronic total energy ... -7.76 eV/atom
DFT formation energy ... 0.128 eV/atom

Cell and atoms, written as CIF:
```
data_LiAlW2
_chemical_formula_sum 'Li2 Al2 W4'
_space_group_name_H-M_alt 'C m m 2'
_space_group_IT_number 35
_cell_length_a 3.159
_cell_length_b 4.421
_cell_length_c 9.085
_cell_angle_alpha 90.00
_cell_angle_beta 90.00
_cell_angle_gamma 90.00
loop_
_space_group_symop_operation_xyz
'x,y,z'
'-x,-y,z'
'-x,y,z'
'x,-y,z'
'x+1/2,y+1/2,z'
'-x+1/2,-y+1/2,z'
'-x+1/2,y+1/2,z'
'x+1/2,-y+1/2,z'
loop_
_atom_site_label
_atom_site_fract_x
_atom_site_fract_y
_atom_site_fract_z
Li1 0.000 0.000 0.000
Al1 0.000 0.500 0.246
W1 0.000 0.000 0.491
W2 0.000 0.500 0.740
```

Entry 4:
DFT (GGA-PBE) results for a geometry-optimized LiAlW2 structure.

Values from the calculation:
DOS at the Fermi energy ... 0.539 states/eV/atom
Electronic total energy ... -7.64 eV/atom
DFT formation energy ... 0.256 eV/atom

Cell and atoms, written as CIF:
```
data_LiAlW2
_chemical_formula_sum 'Li1 Al1 W2'
_space_group_name_H-M_alt 'P 4 m m'
_space_group_IT_number 99
_cell_length_a 2.680
_cell_length_b 2.680
_cell_length_c 8.885
_cell_angle_alpha 90.00
_cell_angle_beta 90.00
_cell_angle_gamma 90.00
loop_
_space_group_symop_operation_xyz
'x,y,z'
'-y,x,z'
'-x,-y,z'
'y,-x,z'
'-x,y,z'
'y,x,z'
'x,-y,z'
'-y,-x,z'
loop_
_atom_site_label
_atom_site_fract_x
_atom_site_fract_y
_atom_site_fract_z
Li1 0.000 0.000 0.000
Al1 0.500 0.500 0.757
W1 0.000 0.000 0.519
W2 0.500 0.500 0.260
```

Entry 5:
DFT (GGA-PBE) results for a geometry-optimized LiAlW structure.

Values from the calculation:
DOS at the Fermi energy ... 0.250 states/eV/atom
Electronic total energy ... -6.16 eV/atom
DFT formation energy ... 0.045 eV/atom
Energy above the most stable polymorph in this dataset ... 61 meV/atom

Cell and atoms, written as CIF:
```
data_LiAlW
_chemical_formula_sum 'Li2 Al2 W2'
_space_group_name_H-M_alt 'P -3 m 1'
_space_group_IT_number 164
_space_group_name_Hall '-P 3 2"'
_cell_length_a 4.3892
_cell_length_b 4.3892
_cell_length_c 5.6773
_cell_angle_alpha 90.00
_cell_angle_beta 90.00
_cell_angle_gamma 120.00
loop_
_atom_site_label
_atom_site_fract_x
_atom_site_fract_y
_atom_site_fract_z
Li1 0.3333 0.6667 0.0715
Al1 0.0000 0.0000 0.2643
W1 0.3333 0.6667 0.5515
```

Entry 6:
DFT (GGA-PBE) results for a geometry-optimized LiAlW structure.

Values from the calculation:
DOS at the Fermi energy ... 0.364 states/eV/atom
Electronic total energy ... -6.16 eV/atom
DFT formation energy ... 0.044 eV/atom
Energy above the most stable polymorph in this dataset ... 60 meV/atom

Cell and atoms, written as CIF:
```
data_LiAlW
_chemical_formula_sum 'Li4 Al4 W4'
_space_group_name_H-M_alt 'C 1 2 1'
_space_group_IT_number 5
_cell_length_a 8.092
_cell_length_b 4.800
_cell_length_c 5.836
_cell_angle_alpha 90.00
_cell_angle_beta 125.71
_cell_angle_gamma 90.00
loop_
_space_group_symop_operation_xyz
'x,y,z'
'-x,y,-z'
'x+1/2,y+1/2,z'
'-x+1/2,y+1/2,-z'
loop_
_atom_site_label
_atom_site_fract_x
_atom_site_fract_y
_atom_site_fract_z
Li1 0.156 0.000 0.494
Al1 0.000 0.289 0.000
Al2 0.000 0.505 0.500
W1 0.173 0.788 0.011
```